1.
14
Lattice="-1.3755 5.1722 -1.6420 -4.5058 2.5278 -2.1561 -6.7928 6.1435 9.7587" Properties=species:S:1:pos:R:3 comment="Er3FeSi3 PBE-GGA relaxed" total_energy_ev_per_atom=-6.2415 e_form_raw_ev_per_atom=-0.753 total_magnetization_mub_per_fu=0.0 pbc="T T T"
Er -7.2969 7.8470 4.0654
Si -5.7220 7.2842 -2.6289
Fe -7.2520 8.3518 1.1958
Er -8.5902 8.7191 7.4541
Er -4.0839 5.1244 -1.4935
Er -9.6362 10.4979 4.6734
Fe -5.4220 5.4917 4.7648
Er -3.0378 3.3456 1.2872
Si -7.2003 8.7607 -1.2232
Si -6.9520 6.5593 8.5895
Si -3.9474 3.9125 3.9095
Si -8.7266 9.9310 2.0512
Er -5.3771 5.9965 1.8953
Si -5.4738 5.0827 7.1838

2.
20
Lattice="-5.2282 -2.3687 -0.9285 0.3283 -3.4690 7.0016 -3.3930 6.8632 1.5964" Properties=species:S:1:pos:R:3 comment="Ac3AlO6 PBE-GGA relaxed" total_energy_ev_per_atom=-7.8845 e_form_raw_ev_per_atom=-3.303 total_magnetization_mub_per_fu=0.0 pbc="T T T"
Al -3.0902 -2.6976 5.4786
O -3.0897 1.6338 5.5181
O -3.6378 -2.8658 3.7593
O -4.5216 -1.8870 6.2388
Ac -6.0901 -0.5288 0.1652
Ac -4.5486 0.4914 7.0877
Al -2.7605 4.8295 2.6247
O -3.8399 5.9997 1.7780
O -5.7757 0.6491 4.9494
O -2.8316 3.3381 1.5976
O -1.5558 -1.7835 5.6646
Ac -4.2389 1.7536 3.3120
O -6.3187 2.9984 2.0792
O -3.1421 -4.3803 6.1244
O -2.1177 0.5573 2.7911
Ac -6.0586 -1.6364 4.0016
Ac -2.6660 -1.5936 1.8061
Ac -7.9727 1.5562 5.4469
O -3.7154 4.3170 4.0771
O -4.8037 -0.4274 2.2224

3.
18
Lattice="7.4278 0.0000 -0.0002 3.7139 6.4503 -0.0001 -0.0047 0.0000 13.9455" Properties=species:S:1:pos:R:3 comment="VSn5Br12 PBE-GGA relaxed" total_energy_ev_per_atom=-3.4901 e_form_raw_ev_per_atom=-0.756 total_magnetization_mub_per_fu=3.0 pbc="T T T"
Sn 7.4255 2.1490 6.9725
Br 5.9090 6.4503 1.5170
Br 4.9450 2.1511 8.6916
Br 2.4781 2.1511 5.2537
V 0.0000 0.0000 0.0000
Br 8.5186 1.9048 12.4268
Br 5.2281 0.0001 12.4281
Sn 3.7140 2.1505 -0.0001
Sn 3.7117 4.3015 6.9727
Br 4.8048 4.5456 12.4269
Br 8.6590 4.2993 8.6915
Br 2.6185 4.5456 1.5185
Br 6.3323 1.9048 1.5183
Sn 7.4280 4.2999 -0.0002
Br 6.1921 4.2993 5.2535
Br 1.2325 0.0001 8.6843
Br 6.1906 0.0001 5.2610
Sn 3.7116 0.0001 6.9727

4.
4
Lattice="-1.6724 -2.9765 2.5965 0.9026 -3.0106 -2.8698 3.8139 -0.5726 1.8001" Properties=species:S:1:pos:R:3 comment="Pa2VSi PBE-GGA relaxed" de_polymorph_mev_per_atom=0.0 total_energy_ev_per_atom=-8.5834 e_form_raw_ev_per_atom=-0.200 total_magnetization_mub_per_fu=1.4 pbc="T T T"
Si -0.8362 -1.4883 1.2983
Pa 0.4513 -1.5053 -1.4349
V 1.5220 -3.2799 0.7634
Pa 1.9069 -0.2863 0.9001

5.
26
Lattice="10.7737 -0.6750 0.4970 8.0878 7.1495 0.4970 1.9446 0.6675 5.9794" Properties=species:S:1:pos:R:3 comment="SO12 PBE-GGA relaxed" total_energy_ev_per_atom=-5.1065 e_form_raw_ev_per_atom=-0.212 total_magnetization_mub_per_fu=6.0 pbc="T T T"
O 4.8237 -0.0014 1.2385
O 5.4125 1.4709 4.9769
O 6.3917 3.6374 0.4335
O 12.6444 2.6519 1.9141
O 2.7924 0.8310 4.2887
O 15.6313 4.9786 1.9965
O 12.8171 1.1171 4.6801
O 6.4455 1.7801 3.0448
O 14.6262 4.5882 3.9286
O 9.7632 1.5318 6.1450
O 17.0002 4.1784 5.7349
O 18.8883 5.7887 5.7069
O 18.0920 6.0828 2.6847
O 2.3446 0.1098 1.2664
O 6.3785 1.0921 4.0951
S 7.5115 5.2703 5.7375
O 11.9091 4.9854 4.1141
O 12.1604 2.3546 0.8284
O 9.1987 1.4691 5.0593
O 9.2965 3.4543 2.1488
O 13.5279 6.0870 6.5399
O 10.0050 0.1518 2.2933
O 15.1016 4.0864 2.8783
O 8.3458 3.7623 2.8593
O 11.3479 4.1585 4.8246
S 11.6413 6.6879 1.2359

6.
5
Lattice="-0.1303 4.6265 0.8254 -2.1345 0.6773 -4.1337 -4.1868 -0.4893 2.0817" Properties=species:S:1:pos:R:3 comment="LiZr3Nb PBE-GGA relaxed" de_polymorph_mev_per_atom=19.9 ef_mev_per_atom=896.5 total_energy_ev_per_atom=-6.6291 total_magnetization_mub_per_fu=0.0 pbc="T T T"
Zr -1.0672 0.3387 -2.0669
Zr -0.0652 2.3132 0.4127
Nb -3.2258 2.4073 -0.6133
Li 0.0000 0.0000 0.0000
Zr -2.0934 -0.2447 1.0409

7.
20
Lattice="3.4980 0.0000 0.0000 0.0000 12.9337 0.7167 0.0000 -3.2436 13.9112" Properties=species:S:1:pos:R:3 comment="TbHo6Th3 PBE-GGA relaxed" de_polymorph_mev_per_atom=0.0 ef_mev_per_atom=73.4 total_energy_ev_per_atom=-5.3623 total_magnetization_mub_per_fu=0.0 pbc="T T T"
Th 0.8745 9.0534 13.2094
Ho 2.6235 10.2104 1.5986
Ho 0.8745 1.2016 9.9767
Ho 0.8745 5.5906 12.7178
Ho 0.8745 9.6606 7.7721
Ho 2.6235 4.1958 9.9458
Ho 2.6235 4.0995 1.9101
Tb 0.8745 11.5596 4.5126
Tb 2.6235 -1.8695 10.1153
Ho 0.8745 1.9114 4.1328
Ho 2.6235 7.7787 10.4951
Ho 2.6235 8.4885 4.6511
Ho 0.8745 5.4943 4.6821
Ho 2.6235 0.0295 6.8558
Ho 0.8745 -0.5203 13.0293
Th 2.6235 2.5330 12.8582
Th 0.8745 3.2795 7.1153
Th 0.8745 7.1571 1.7697
Th 2.6235 6.4106 7.5126
Th 2.6235 0.6367 1.4184

8.
8
Lattice="-1.7955 -4.0242 0.3075 2.1110 -1.2225 -3.6737 5.5354 -1.7771 9.0649" Properties=species:S:1:pos:R:3 comment="LaSeS2 PBE-GGA relaxed" total_energy_ev_per_atom=-5.3056 e_form_raw_ev_per_atom=-1.139 total_magnetization_mub_per_fu=0.0 pbc="T T T"
S 5.0104 -5.4134 6.0039
S 0.8404 -1.6105 -0.3052
La 4.4848 -5.4044 3.0519
S 0.9997 -4.2345 -1.9874
Se 2.0954 -4.4670 1.3673
S 4.8511 -2.7894 7.6861
La 1.3661 -1.6195 2.6468
Se 3.7554 -2.5568 4.3313